[1]
# RbMn3Co

A relaxed structure of RbMn3Co (GGA-PBE, Alexandria via LeMat-Bulk).

Cell lengths 4.302, 4.302, 4.302 Å; angles 90.00, 90.00, 90.00 degrees
Fractional coordinates of all 5 atoms:
Rb  0.000  0.000  0.000
Mn  0.000  0.000  0.500
Mn  0.000  0.500  0.000
Mn  0.500  0.000  0.000
Co  0.500  0.500  0.500

Output
Crystal system: cubic
Final energy, eV/atom: -3.778



[2]
# PuTaAl

A relaxed structure of PuTaAl (GGA-PBE, Alexandria via LeMat-Bulk).

Cell lengths 4.841, 4.841, 5.742 Å; angles 90.00, 90.00, 120.00 degrees
Fractional coordinates of all 6 atoms:
Pu  0.000  0.000  0.000
Pu  0.000  0.000  0.500
Ta  0.333  0.667  0.250
Ta  0.667  0.333  0.750
Al  0.333  0.667  0.750
Al  0.667  0.333  0.250

Output
Crystal system: hexagonal
Final energy, eV/atom: -9.941



[3]
# MnCu2Pb

A relaxed structure of MnCu2Pb (GGA-PBE, Alexandria via LeMat-Bulk).

Cell lengths 4.062, 4.062, 3.918 Å; angles 90.14, 90.14, 90.06 degrees
Fractional coordinates of all 4 atoms:
Mn  0.000  0.000  0.000
Cu  0.000  0.500  0.500
Cu  0.500  0.000  0.500
Pb  0.500  0.500  0.000

Output
Crystal system: monoclinic
Final energy, eV/atom: -4.958



[4]
# CaTaNi

A relaxed structure of CaTaNi (GGA-PBE, Alexandria via LeMat-Bulk).

Cell lengths 3.223, 3.223, 6.781 Å; angles 90.00, 90.00, 120.00 degrees
Fractional coordinates of all 3 atoms:
Ca  0.000  0.000  0.000
Ta  0.333  0.667  0.586
Ni  0.667  0.333  0.345

Output
Crystal system: trigonal
Final energy, eV/atom: -6.084



[5]
# TcAg2Cl

A relaxed structure of TcAg2Cl (GGA-PBE, Alexandria via LeMat-Bulk).

Cell lengths 4.889, 4.889, 4.889 Å; angles 125.54, 125.54, 80.65 degrees
Fractional coordinates of all 4 atoms:
Tc  0.000  0.000  0.000
Ag  0.250  0.750  0.500
Ag  0.500  0.500  0.000
Cl  0.750  0.250  0.500

Output
Crystal system: tetragonal
Formation energy without anion corrections, eV/atom: 0.76
Final energy, eV/atom: -3.716



[6]
# NaAg2Pt2

A relaxed structure of NaAg2Pt2 (GGA-PBE, Alexandria via LeMat-Bulk).

Cell lengths 8.158, 8.158, 2.823 Å; angles 90.00, 90.00, 90.00 degrees
Fractional coordinates of all 10 atoms:
Na  0.000  0.000  0.000
Na  0.500  0.500  0.000
Ag  0.177  0.323  0.500
Ag  0.323  0.823  0.500
Ag  0.677  0.177  0.500
Ag  0.823  0.677  0.500
Pt  0.119  0.619  0.000
Pt  0.381  0.119  0.000
Pt  0.619  0.881  0.000
Pt  0.881  0.381  0.000

Output
Crystal system: tetragonal
Final energy, eV/atom: -3.828



[7]
# Sb2RuAu

A relaxed structure of Sb2RuAu (GGA-PBE, Alexandria via LeMat-Bulk).

Cell lengths 3.142, 3.244, 8.290 Å; angles 90.00, 90.14, 90.00 degrees
Fractional coordinates of all 4 atoms:
Sb  0.001  0.000  0.205
Sb  0.999  0.000  0.795
Ru  0.500  0.500  0.000
Au  0.000  0.500  0.500

Output
Crystal system: monoclinic
Formation energy without anion corrections, eV/atom: 0.06
Final energy, eV/atom: -5.143



[8]
# Y2SiAu3

A relaxed structure of Y2SiAu3 (GGA-PBE, Alexandria via LeMat-Bulk).

Cell lengths 3.522, 4.472, 8.061 Å; angles 90.00, 90.00, 90.00 degrees
Fractional coordinates of all 6 atoms:
Y  0.000  0.000  0.000
Y  0.000  0.500  0.491
Si  0.500  0.500  0.824
Au  0.500  0.000  0.337
Au  0.500  0.000  0.681
Au  0.500  0.500  0.138

Output
Crystal system: orthorhombic
Formation energy without anion corrections, eV/atom: -0.79
Final energy, eV/atom: -5.490



Q: The lowest final energy belongs to which entry?
A: PuTaAl



Q: Look up the final energy of the eighth one.
A: -5.490 eV/atom



Q: Which formula does entry 7 have?
A: Sb2RuAu



Q: Look up the final energy of the second one.
A: -9.941 eV/atom